No. 1
## LaCdPb2 (PBE-GGA)

Data for LaCdPb2 after structural relaxation.

Geometry as CIF:
```
data_LaCdPb2
_chemical_formula_sum 'La2 Cd2 Pb4'
_cell_length_a 6.8857
_cell_length_b 11.1153
_cell_length_c 3.5931
_cell_angle_alpha 90.00
_cell_angle_beta 117.24
_cell_angle_gamma 90.00
_space_group_name_H-M_alt 'C 1 2/m 1'
_space_group_IT_number 12
loop_
_space_group_symop_operation_xyz
'x,y,z'
'-x,-y,-z'
'-x,y,-z'
'x,-y,z'
'x+1/2,y+1/2,z'
'-x+1/2,-y+1/2,-z'
'-x+1/2,y+1/2,-z'
'x+1/2,-y+1/2,z'
loop_
_atom_site_label
_atom_site_type_symbol
_atom_site_fract_x
_atom_site_fract_y
_atom_site_fract_z
La1 La 0.0000 0.0000 0.0000
Cd1 Cd 0.0000 0.5000 0.0000
Pb1 Pb 0.2500 0.2500 0.5000
```

=====

No. 2
# LaCd4Pb, optimized geometry, DFT PBE-GGA
data_LaCd4Pb
_chemical_formula_sum 'La4 Cd16 Pb4'
_cell_length_a 8.5921
_cell_length_b 8.5921
_cell_length_c 8.5921
_cell_angle_alpha 90.00
_cell_angle_beta 90.00
_cell_angle_gamma 90.00
_space_group_name_H-M_alt 'F -4 3 m'
_space_group_IT_number 216
_space_group_name_Hall 'F -4 2 3'
loop_
_atom_site_label
_atom_site_type_symbol
_atom_site_fract_x
_atom_site_fract_y
_atom_site_fract_z
La1 La 0.0000 0.0000 0.0000
Cd1 Cd 0.1252 0.1252 0.3748
Pb1 Pb 0.2500 0.2500 0.7500
# **Energy above the most stable polymorph in this dataset**: 88 meV per atom

=====

Result set for energy of formation from the pure elements: -0.90 -0.98 eV per formula unit, one per record in the order listed.